! Mg4SiSe6 | the Alexandria database | PBE | optimized geometry; values from VASP
&SYSTEM
  ibrav = 0, nat = 22, ntyp = 3
/
ATOMIC_SPECIES
Mg 24.30 Mg.upf
Si 28.09 Si.upf
Se 78.96 Se.upf
CELL_PARAMETERS angstrom
6.424 -3.636 0.000
6.424 3.636 0.000
-4.503 0.000 12.072
ATOMIC_POSITIONS crystal
Mg 0.064 0.288 0.808
Mg 0.085 0.915 0.500
Mg 0.190 0.542 0.150
Mg 0.288 0.064 0.308
Mg 0.541 0.767 0.998
Mg 0.542 0.190 0.650
Mg 0.767 0.541 0.498
Mg 0.915 0.085 0.000
Si 0.152 0.709 0.749
Si 0.709 0.152 0.249
Se 0.132 0.580 0.562
Se 0.272 0.824 0.113
Se 0.355 0.407 0.827
Se 0.356 0.881 0.803
Se 0.407 0.355 0.327
Se 0.434 0.919 0.493
Se 0.580 0.132 0.062
Se 0.821 0.902 0.794
Se 0.824 0.272 0.613
Se 0.881 0.356 0.303
Se 0.902 0.821 0.294
Se 0.919 0.434 0.993
! - D(E_F) (states/eV/f.u.) = 0.000
! - space group = Cc (9)
! - formation energy without anion corrections (eV/atom) = -1.023
! - calculated volume (Å³ per atom) = 25.6

=====

! MgSiSe3 | the Alexandria database | PBE | optimized geometry; values from VASP
&SYSTEM
  ibrav = 0, nat = 5, ntyp = 3
/
ATOMIC_SPECIES
Mg 24.30 Mg.upf
Si 28.09 Si.upf
Se 78.96 Se.upf
CELL_PARAMETERS angstrom
5.002 0.000 0.000
0.000 5.002 0.000
0.000 0.000 5.002
ATOMIC_POSITIONS crystal
Mg 0.000 0.000 0.000
Si 0.500 0.500 0.500
Se 0.000 0.000 0.500
Se 0.000 0.500 0.000
Se 0.500 0.000 0.000
! - D(E_F) (states/eV/f.u.) = 4.448
! - space group = Pm-3m (221)
! - formation energy without anion corrections (eV/atom) = 0.385
! - calculated volume (Å³ per atom) = 25.0

=====

! Mg2SiSe | the Alexandria database | PBE | optimized geometry; values from VASP
&SYSTEM
  ibrav = 0, nat = 4, ntyp = 3
/
ATOMIC_SPECIES
Mg 24.30 Mg.upf
Si 28.09 Si.upf
Se 78.96 Se.upf
CELL_PARAMETERS angstrom
5.492 -1.882 0.000
5.492 1.882 0.000
-1.235 0.000 3.942
ATOMIC_POSITIONS crystal
Mg 0.000 0.000 0.000
Mg 0.728 0.728 0.475
Si 0.470 0.470 0.482
Se 0.254 0.254 0.012
! - D(E_F) (states/eV/f.u.) = 1.274
! - space group = Cm (8)
! - formation energy without anion corrections (eV/atom) = -0.251
! - calculated volume (Å³ per atom) = 20.4

=====

! MgSiSe3 | the Alexandria database | PBE | optimized geometry; values from VASP
&SYSTEM
  ibrav = 0, nat = 20, ntyp = 3
/
ATOMIC_SPECIES
Mg 24.30 Mg.upf
Si 28.09 Si.upf
Se 78.96 Se.upf
CELL_PARAMETERS angstrom
6.823 0.000 0.000
0.000 7.074 0.000
-5.057 0.000 11.237
ATOMIC_POSITIONS crystal
Mg 0.248 0.146 0.227
Mg 0.248 0.354 0.727
Mg 0.752 0.646 0.273
Mg 0.752 0.854 0.773
Si 0.133 0.601 0.122
Si 0.133 0.899 0.622
Si 0.867 0.101 0.378
Si 0.867 0.399 0.878
Se 0.114 0.007 0.790
Se 0.114 0.493 0.290
Se 0.216 0.159 0.527
Se 0.216 0.341 0.027
Se 0.381 0.673 0.644
Se 0.381 0.827 0.144
Se 0.619 0.173 0.856
Se 0.619 0.327 0.356
Se 0.784 0.659 0.973
Se 0.784 0.841 0.473
Se 0.886 0.507 0.710
Se 0.886 0.993 0.210
! - D(E_F) (states/eV/f.u.) = 0.000
! - space group = P2_1/c (14)
! - formation energy without anion corrections (eV/atom) = -0.707
! - calculated volume (Å³ per atom) = 27.1

=====

> What is the formation energy without anion corrections in the second record?

0.385 eV/atom

=====

What did the third record say?
! Mg2SiSe | the Alexandria database | PBE | optimized geometry; values from VASP
&SYSTEM
  ibrav = 0, nat = 4, ntyp = 3
/
ATOMIC_SPECIES
Mg 24.30 Mg.upf
Si 28.09 Si.upf
Se 78.96 Se.upf
CELL_PARAMETERS angstrom
5.492 -1.882 0.000
5.492 1.882 0.000
-1.235 0.000 3.942
ATOMIC_POSITIONS crystal
Mg 0.000 0.000 0.000
Mg 0.728 0.728 0.475
Si 0.470 0.470 0.482
Se 0.254 0.254 0.012
! - D(E_F) (states/eV/f.u.) = 1.274
! - space group = Cm (8)
! - formation energy without anion corrections (eV/atom) = -0.251
! - calculated volume (Å³ per atom) = 20.4